A geometry-optimized TbPm3Tl2 structure. Source: Alexandria, functional PBE.

Cell: 5.2156 10.2555 6.8585 Å, 90.00 90.00 90.00°
Closest atoms and distances in Å follow each position.
Positions (direct):
1 Tb 0.0000 0.0404 0.0000  5 Tl 3.27-3.60, 2 Pm 3.52, 2 Tb 3.53
2 Tb 0.0000 0.9596 0.5000  5 Tl 3.27-3.60, 2 Pm 3.52, 2 Tb 3.53
3 Pm 0.0000 0.3130 0.6387  5 Tl 3.27-3.64, 2 Pm 3.53
4 Pm 0.0000 0.6870 0.1387  5 Tl 3.27-3.64, 2 Pm 3.53
5 Pm 0.5000 0.1807 0.2734  5 Tl 3.24-3.62, 2 Tb 3.52
6 Pm 0.5000 0.4602 0.9082  5 Tl 3.30-3.60, 4 Pm 3.53
7 Pm 0.5000 0.5398 0.4082  5 Tl 3.30-3.60, 4 Pm 3.53
8 Pm 0.5000 0.8193 0.7734  5 Tl 3.24-3.62, 2 Tb 3.52
9 Tl 0.0000 0.3623 0.1636  9 Pm 3.29-3.64, 1 Tb 3.49
10 Tl 0.0000 0.6377 0.6636  9 Pm 3.29-3.64, 1 Tb 3.49
11 Tl 0.5000 0.1353 0.7499  6 Pm 3.24-3.62, 4 Tb 3.27-3.60
12 Tl 0.5000 0.8647 0.2499  6 Pm 3.24-3.62, 4 Tb 3.27-3.60

Summary:
The space-group type is Pmc2_1 (26). As for the calculated density: 9.1 g/cm³. The calculated total energy comes out at -50.50 eV/cell. The formation enthalpy at 0 K comes out at -0.272 eV/atom. The value obtained for the volume is 183.4 Å³/f.u.